Entry 1:
DFT (PBE) results for a geometry-optimized V2Cu2Sb structure.

Lattice parameters (Å, degrees): 6.4582 6.4582 3.6925 90.00 90.00 90.00
Last column: nearest neighbours and their distance in Å.
Space group P4/mbm (No. 127)
Inequivalent atoms, fractional coordinates:
V 0.1612 0.3388 0.0000 x4  6 Cu 2.64-2.67, 1 V 2.94
Cu 0.1282 0.6282 0.5000 x4  1 Cu 2.34, 2 Sb 2.54
Sb 0.0000 0.0000 0.5000 x2  4 Cu 2.54

- raw total energy (eV/atom) = -5.83
- ΔE_f (raw) (meV per atom) = 283
- density of states at the Fermi level (states/eV per cell) = 9.728
- M_tot (μB per cell) = 6.58

Entry 2:
DFT (PBE) results for a geometry-optimized VCuSb3 structure.

Lattice parameters (Å, degrees): 5.0726 5.0726 5.0726 90.00 90.00 90.00
Last column: nearest neighbours and their distance in Å.
Space group Pm-3m (No. 221)
Inequivalent atoms, fractional coordinates:
V 0.0000 0.0000 0.0000 x1  6 Sb 2.54
Cu 0.5000 0.5000 0.5000 x1  12 Sb 3.59
Sb 0.0000 0.0000 0.5000 x3  2 V 2.54

- raw total energy (eV/atom) = -4.56
- ΔE_f (raw) (meV per atom) = 554
- distance to the lowest polymorph of the same formula (meV per atom) = 0
- density of states at the Fermi level (states/eV per cell) = 3.950
- M_tot (μB per cell) = 0.00

Entry 3:
DFT (PBE) results for a geometry-optimized VCuSb2 structure.

Lattice parameters (Å, degrees): 3.3644 3.3644 26.2888 90.00 90.00 120.00
Last column: nearest neighbours and their distance in Å.
Space group R-3m (No. 166, hexagonal axes)
Inequivalent atoms, fractional coordinates:
V 0.0000 0.0000 0.0000 x3  6 Sb 2.70
Cu 0.0000 0.0000 0.5000 x3  2 Sb 2.51
Sb 0.0000 0.0000 0.4047 x6  1 Cu 2.51, 3 V 2.70

- raw total energy (eV/atom) = -5.21
- ΔE_f (raw) (meV per atom) = 158
- distance to the lowest polymorph of the same formula (meV per atom) = 0
- density of states at the Fermi level (states/eV per cell) = 5.479
- M_tot (μB per cell) = 0.21